# 1
Entry from Alexandria: CeDy2Sb after structural relaxation (GGA-PBE).

Unit cell a=4.6245 b=4.8483 c=4.8483 alpha=90.00 beta=90.00 gamma=90.00
Closest atoms and distances in Å follow each position.
Fractional coordinates of all 4 atoms:
Sb  0.5000  0.0000  0.0000  8 Dy 3.35, 4 Ce 3.43
Ce  0.5000  0.5000  0.5000  8 Dy 3.35, 4 Sb 3.43
Dy  0.0000  0.0000  0.5000  4 Ce 3.35, 4 Sb 3.35, 4 Dy 3.43
Dy  0.0000  0.5000  0.0000  4 Ce 3.35, 4 Sb 3.35, 4 Dy 3.43

Properties
Energy relative to the elements, uncorrected: -1.93 eV/f.u.
VASP energy: -21.193 eV for the cell shown
E above lowest polymorph: 0.000 eV per atom

# 2
Entry from Alexandria: Ce3DySb3 after structural relaxation (GGA-PBE).

Unit cell a=9.1725 b=9.1725 c=8.1991 alpha=55.99 beta=55.99 gamma=60.00
Closest atoms and distances in Å follow each position.
Fractional coordinates of all 14 atoms:
Ce  0.3386  0.8304  0.7400  5 Sb 3.14-3.35
Ce  0.8304  0.0911  0.7400  5 Sb 3.14-3.35
Ce  0.0911  0.3386  0.7400  5 Sb 3.14-3.35
Ce  0.9089  0.6614  0.2600  5 Sb 3.14-3.35
Ce  0.1696  0.9089  0.2600  5 Sb 3.14-3.35
Ce  0.6614  0.1696  0.2600  5 Sb 3.14-3.35
Dy  0.3311  0.3311  0.0067  6 Sb 3.16-3.22
Dy  0.6689  0.6689  0.9933  6 Sb 3.16-3.22
Sb  0.3120  0.5284  0.2363  5 Ce 3.14-3.35, 2 Dy 3.16-3.22
Sb  0.9233  0.3120  0.2363  5 Ce 3.14-3.35, 2 Dy 3.16-3.22
Sb  0.5284  0.9233  0.2363  5 Ce 3.14-3.35, 2 Dy 3.16-3.22
Sb  0.4716  0.0767  0.7637  5 Ce 3.14-3.35, 2 Dy 3.16-3.22
Sb  0.0767  0.6880  0.7637  5 Ce 3.14-3.35, 2 Dy 3.16-3.22
Sb  0.6880  0.4716  0.7637  5 Ce 3.14-3.35, 2 Dy 3.16-3.22

Properties
Energy relative to the elements, uncorrected: -5.44 eV/f.u.
VASP energy: -80.429 eV for the cell shown

# 3
Entry from Alexandria: CeDySb after structural relaxation (GGA-PBE).

Unit cell a=4.0443 b=4.0443 c=5.9295 alpha=109.94 beta=109.94 gamma=90.00
Closest atoms and distances in Å follow each position.
Fractional coordinates of all 3 atoms:
Sb  0.2911  0.2911  0.5821  4 Dy 3.20, 5 Ce 3.32-3.51
Ce  0.6293  0.6293  0.2586  1 Dy 3.12, 4 Sb 3.32
Dy  0.9296  0.9296  0.8593  1 Ce 3.12, 4 Sb 3.20

Properties
Energy relative to the elements, uncorrected: -1.71 eV/f.u.
VASP energy: -16.367 eV for the cell shown

- Number 2 is which compound?
  Ce3DySb3

- What is the formula in the first record?
  CeDy2Sb

Repeat the first record exactly.
Entry from Alexandria: CeDy2Sb after structural relaxation (GGA-PBE).

Unit cell a=4.6245 b=4.8483 c=4.8483 alpha=90.00 beta=90.00 gamma=90.00
Closest atoms and distances in Å follow each position.
Fractional coordinates of all 4 atoms:
Sb  0.5000  0.0000  0.0000  8 Dy 3.35, 4 Ce 3.43
Ce  0.5000  0.5000  0.5000  8 Dy 3.35, 4 Sb 3.43
Dy  0.0000  0.0000  0.5000  4 Ce 3.35, 4 Sb 3.35, 4 Dy 3.43
Dy  0.0000  0.5000  0.0000  4 Ce 3.35, 4 Sb 3.35, 4 Dy 3.43

Properties
Energy relative to the elements, uncorrected: -1.93 eV/f.u.
VASP energy: -21.193 eV for the cell shown
E above lowest polymorph: 0.000 eV per atom